The following is a DFT calculation (PBE) of an optimized crystal structure of RbSmCd17.

**V**: 24.279 Å³/atom
**Fermi-level density of states**: 7.3 states/eV/cell
**SG**: R3m
**Electronic total energy**: -1.203 eV/atom
**Formation energy from the elements**: -0.084 eV per atom

a b c (Å): 7.7895 7.7895 7.7895
angles (deg): 82.43 82.43 82.43
With the nearest neighbours (Å) after each atom.
Positions (direct):
Cd1 0.9860 0.9860 0.5152  10 Cd 2.96-3.25
Cd2 0.9860 0.5152 0.9860  10 Cd 2.96-3.25
Cd3 0.3486 0.8687 0.3486  9 Cd 2.94-3.24
Cd4 0.9081 0.9081 0.9081  10 Cd 3.01-3.35
Cd5 0.6274 0.1879 0.6274  8 Cd 2.94-3.28
Cd6 0.0026 0.2947 0.7014  8 Cd 2.96-3.28
Cd7 0.0026 0.7014 0.2947  8 Cd 2.96-3.28
Cd8 0.1879 0.6274 0.6274  8 Cd 2.94-3.28
Cd9 0.2947 0.7014 0.0026  8 Cd 2.96-3.28
Cd10 0.8687 0.3486 0.3486  9 Cd 2.94-3.24
Cd11 0.7014 0.0026 0.2947  8 Cd 2.96-3.28
Cd12 0.2947 0.0026 0.7014  8 Cd 2.96-3.28
Cd13 0.6274 0.6274 0.1879  8 Cd 2.94-3.28
Cd14 0.3486 0.3486 0.8687  9 Cd 2.94-3.24
Cd15 0.7014 0.2947 0.0026  8 Cd 2.96-3.28
Cd16 0.5152 0.9860 0.9860  10 Cd 2.96-3.25
Cd17 0.1065 0.1065 0.1065  7 Cd 3.01-3.25
Rb1 0.6624 0.6624 0.6624  19 Cd 3.65-4.04
Sm1 0.3298 0.3298 0.3298  13 Cd 3.39-3.60



The following is a DFT calculation (PBE) of an optimized crystal structure of RbSmCd2.

**V**: 34.140 Å³/atom
**Fermi-level density of states**: 3.6 states/eV/cell
**SG**: P4/mmm
**Electronic total energy**: -1.967 eV/atom
**Formation energy from the elements**: -0.087 eV per atom

a b c (Å): 3.9281 3.9281 8.8502
angles (deg): 90.00 90.00 90.00
With the nearest neighbours (Å) after each atom.
Positions (direct):
Cd1 0.0000 0.0000 0.8055  4 Sm 3.27, 1 Cd 3.44
Cd2 0.0000 0.0000 0.1945  4 Sm 3.27, 1 Cd 3.44
Sm1 0.5000 0.5000 0.0000  8 Cd 3.27
Rb1 0.5000 0.5000 0.5000  8 Cd 3.88, 4 Rb 3.93



The following is a DFT calculation (PBE) of an optimized crystal structure of RbCd2Sn8.

**V**: 37.529 Å³/atom
**Fermi-level density of states**: 7.2 states/eV/cell
**SG**: P4/mmm
**Electronic total energy**: -3.051 eV/atom
**Formation energy from the elements**: 0.114 eV per atom

a b c (Å): 6.2344 6.2344 10.6214
angles (deg): 90.00 90.00 90.00
With the nearest neighbours (Å) after each atom.
Positions (direct):
Rb1 0.5000 0.5000 0.5000  8 Sn 3.90
Sn1 0.7515 0.2485 0.8018  2 Cd 3.05, 4 Sn 3.10-3.14
Sn2 0.7515 0.2485 0.1982  2 Cd 3.05, 4 Sn 3.10-3.14
Sn3 0.2485 0.7515 0.1982  2 Cd 3.05, 4 Sn 3.10-3.14
Sn4 0.2485 0.7515 0.8018  2 Cd 3.05, 4 Sn 3.10-3.14
Sn5 0.7515 0.7515 0.8018  2 Cd 3.05, 4 Sn 3.10-3.14
Sn6 0.2485 0.2485 0.1982  2 Cd 3.05, 4 Sn 3.10-3.14
Sn7 0.7515 0.7515 0.1982  2 Cd 3.05, 4 Sn 3.10-3.14
Sn8 0.2485 0.2485 0.8018  2 Cd 3.05, 4 Sn 3.10-3.14
Cd1 0.5000 0.0000 0.0000  8 Sn 3.05
Cd2 0.0000 0.5000 0.0000  8 Sn 3.05



The following is a DFT calculation (PBE) of an optimized crystal structure of Rb3Cd2Sn.

**V**: 49.059 Å³/atom
**Fermi-level density of states**: 4.3 states/eV/cell
**SG**: C2/c
**Electronic total energy**: -1.531 eV/atom
**Formation energy from the elements**: -0.075 eV per atom

a b c (Å): 8.1819 8.1819 8.9957
angles (deg): 81.49 81.49 86.90
With the nearest neighbours (Å) after each atom.
Positions (direct):
Rb1 0.3635 0.6365 0.2500  1 Sn 3.78, 4 Cd 3.83-3.87
Rb2 0.1219 0.2591 0.0033  2 Sn 3.85-4.18, 4 Cd 3.85-3.99
Rb3 0.2591 0.1219 0.5033  2 Sn 3.85-4.18, 4 Cd 3.85-3.99
Rb4 0.8781 0.7409 0.9967  2 Sn 3.85-4.18, 4 Cd 3.85-3.99
Rb5 0.6365 0.3635 0.7500  1 Sn 3.78, 4 Cd 3.83-3.87
Rb6 0.7409 0.8781 0.4967  2 Sn 3.85-4.18, 4 Cd 3.85-3.99
Cd1 0.4493 0.9325 0.8769  1 Sn 2.78, 1 Cd 2.86
Cd2 0.5507 0.0675 0.1231  1 Sn 2.78, 1 Cd 2.86
Cd3 0.9325 0.4493 0.3769  1 Sn 2.78, 1 Cd 2.86
Cd4 0.0675 0.5507 0.6231  1 Sn 2.78, 1 Cd 2.86
Sn1 0.6993 0.3007 0.2500  2 Cd 2.78
Sn2 0.3007 0.6993 0.7500  2 Cd 2.78



no.,size of the total moment (μB/atom)
1,0.00
2,0.06
3,0.00
4,0.00